# 1
Crystalline Tb7Te2Rh2 at its relaxed geometry, computed with PBE.

```
data_Tb7Te2Rh2
_chemical_formula_sum 'Tb7 Te2 Rh2'
_cell_length_a 9.4915
_cell_length_b 9.4915
_cell_length_c 9.4915
_cell_angle_alpha 156.05
_cell_angle_beta 65.90
_cell_angle_gamma 119.63
_space_group_name_H-M_alt 'P 1'
_space_group_IT_number 1
loop_
_space_group_symop_operation_xyz
'x,y,z'
loop_
_atom_site_label
_atom_site_type_symbol
_atom_site_fract_x
_atom_site_fract_y
_atom_site_fract_z
Tb1 Tb 0.0000 0.0000 0.0000
Tb2 Tb 0.0580 0.3756 0.6824
Tb3 Tb 0.0879 0.7354 0.3525
Tb4 Tb 0.3829 0.7354 0.6475
Tb5 Tb 0.4512 0.5821 0.8690
Tb6 Tb 0.6932 0.3756 0.3176
Tb7 Tb 0.7131 0.5821 0.1310
Te1 Te 0.3354 0.3354 0.0000
Te2 Te 0.7351 0.2351 0.5000
Rh1 Rh 0.3083 0.0698 0.2385
Rh2 Rh 0.8312 0.0698 0.7615
```

Summary:
Magnetic moment = 0.00 μB/cell
E_form (uncorrected) = -0.870 eV/atom
E above lowest polymorph = 0 meV/atom
Uncorrected energy = -5.72 eV per atom
Crystal system = orthorhombic


# 2
Crystalline Tb3Te2Rh at its relaxed geometry, computed with PBE.

```
data_Tb3Te2Rh
_chemical_formula_sum 'Tb3 Te2 Rh1'
_cell_length_a 9.6845
_cell_length_b 9.6845
_cell_length_c 9.6845
_cell_angle_alpha 154.51
_cell_angle_beta 154.51
_cell_angle_gamma 36.36
_space_group_name_H-M_alt 'P 1'
_space_group_IT_number 1
loop_
_space_group_symop_operation_xyz
'x,y,z'
loop_
_atom_site_label
_atom_site_type_symbol
_atom_site_fract_x
_atom_site_fract_y
_atom_site_fract_z
Tb1 Tb 0.0000 0.0000 0.0000
Tb2 Tb 0.3589 0.3589 0.0000
Tb3 Tb 0.6411 0.6411 0.0000
Te1 Te 0.1769 0.1769 0.0000
Te2 Te 0.8231 0.8231 0.0000
Rh1 Rh 0.5000 0.5000 0.0000
```

Summary:
Magnetic moment = 0.00 μB/cell
E_form (uncorrected) = -1.108 eV/atom
E above lowest polymorph = 0 meV/atom
Uncorrected energy = -5.70 eV per atom
Crystal system = tetragonal


# 3
Crystalline Tb5Te4Rh at its relaxed geometry, computed with PBE.

```
data_Tb5Te4Rh
_chemical_formula_sum 'Tb5 Te4 Rh1'
_cell_length_a 15.8849
_cell_length_b 15.8849
_cell_length_c 15.8849
_cell_angle_alpha 164.53
_cell_angle_beta 164.53
_cell_angle_gamma 21.95
_space_group_name_H-M_alt 'P 1'
_space_group_IT_number 1
loop_
_space_group_symop_operation_xyz
'x,y,z'
loop_
_atom_site_label
_atom_site_type_symbol
_atom_site_fract_x
_atom_site_fract_y
_atom_site_fract_z
Tb1 Tb 0.0000 0.0000 0.0000
Tb2 Tb 0.2100 0.2100 0.0000
Tb3 Tb 0.4164 0.4164 0.0000
Tb4 Tb 0.5836 0.5836 0.0000
Tb5 Tb 0.7900 0.7900 0.0000
Te1 Te 0.1048 0.1048 0.0000
Te2 Te 0.3097 0.3097 0.0000
Te3 Te 0.6903 0.6903 0.0000
Te4 Te 0.8952 0.8952 0.0000
Rh1 Rh 0.5000 0.5000 0.0000
```

Summary:
Magnetic moment = 0.00 μB/cell
E_form (uncorrected) = -1.204 eV/atom
E above lowest polymorph = 9 meV/atom
Uncorrected energy = -5.51 eV per atom
Crystal system = tetragonal


# 4
Crystalline Tb5Te4Rh at its relaxed geometry, computed with PBE.

```
data_Tb5Te4Rh
_chemical_formula_sum 'Tb5 Te4 Rh1'
_cell_length_a 7.5182
_cell_length_b 7.5182
_cell_length_c 7.5182
_cell_angle_alpha 99.69
_cell_angle_beta 99.69
_cell_angle_gamma 131.56
_space_group_name_H-M_alt 'P 1'
_space_group_IT_number 1
loop_
_space_group_symop_operation_xyz
'x,y,z'
loop_
_atom_site_label
_atom_site_type_symbol
_atom_site_fract_x
_atom_site_fract_y
_atom_site_fract_z
Tb1 Tb 0.0000 0.0000 0.0000
Tb2 Tb 0.2375 0.4056 0.6430
Tb3 Tb 0.4056 0.7625 0.1681
Tb4 Tb 0.5944 0.2375 0.8319
Tb5 Tb 0.7625 0.5944 0.3570
Te1 Te 0.0871 0.6906 0.7777
Te2 Te 0.3094 0.0871 0.3966
Te3 Te 0.6906 0.9129 0.6034
Te4 Te 0.9129 0.3094 0.2223
Rh1 Rh 0.5000 0.5000 0.0000
```

Summary:
Magnetic moment = 0.00 μB/cell
E_form (uncorrected) = -1.213 eV/atom
E above lowest polymorph = 0 meV/atom
Uncorrected energy = -5.52 eV per atom
Crystal system = tetragonal


magnetic moment of number 4 (Tb5Te4Rh)?
0.00 μB/cell